No. 1
Entry from Alexandria: an optimized crystal structure of Pr2DyHo (PBE-GGA).

Unit cell a=3.576 b=5.629 c=6.947 alpha=90.00 beta=104.86 gamma=90.00
Positions (direct):
Pr (0.000, 0.000, 0.000)
Pr (0.384, 0.500, 0.766)
Dy (0.258, 0.000, 0.513)
Ho (0.647, 0.500, 0.291)

Summary:
Energy above the lowest structure with this stoichiometry: 0.0433 eV per atom

No. 2
Entry from Alexandria: an optimized crystal structure of Pr5Dy4Ho (PBE-GGA).

Unit cell a=9.355 b=9.355 c=10.571 alpha=96.02 beta=96.02 gamma=22.28
Positions (direct):
Pr (0.000, 0.000, 0.000)
Pr (0.310, 0.310, 0.900)
Pr (0.359, 0.359, 0.272)
Pr (0.641, 0.641, 0.728)
Pr (0.690, 0.690, 0.100)
Dy (0.182, 0.182, 0.415)
Dy (0.454, 0.454, 0.736)
Dy (0.546, 0.546, 0.264)
Dy (0.818, 0.818, 0.585)
Ho (0.000, 0.000, 0.500)

Summary:
Energy above the lowest structure with this stoichiometry: 0.1201 eV per atom

No. 3
Entry from Alexandria: an optimized crystal structure of Pr9DyHo2 (PBE-GGA).

Unit cell a=5.185 b=5.185 c=15.557 alpha=90.00 beta=90.00 gamma=90.00
Positions (direct):
Pr (0.000, 0.000, 0.000)
Pr (0.000, 0.000, 0.334)
Pr (0.000, 0.000, 0.666)
Pr (0.000, 0.500, 0.167)
Pr (0.000, 0.500, 0.500)
Pr (0.000, 0.500, 0.833)
Pr (0.500, 0.000, 0.167)
Pr (0.500, 0.000, 0.500)
Pr (0.500, 0.000, 0.833)
Dy (0.500, 0.500, 0.000)
Ho (0.500, 0.500, 0.333)
Ho (0.500, 0.500, 0.667)

Summary:
Uncorrected energy: -4.717 eV/atom

No. 4
Entry from Alexandria: an optimized crystal structure of PrDy2Ho7 (PBE-GGA).

Unit cell a=9.144 b=9.144 c=5.597 alpha=90.00 beta=90.00 gamma=123.17
Positions (direct):
Pr (0.000, 0.000, 0.000)
Dy (0.297, 0.703, 0.500)
Dy (0.703, 0.297, 0.500)
Ho (0.062, 0.292, 0.500)
Ho (0.217, 0.783, 0.000)
Ho (0.292, 0.062, 0.500)
Ho (0.500, 0.500, 0.500)
Ho (0.708, 0.938, 0.500)
Ho (0.783, 0.217, 0.000)
Ho (0.938, 0.708, 0.500)

Summary:
Energy above the lowest structure with this stoichiometry: 0.6845 eV per atom

No. 5
Entry from Alexandria: an optimized crystal structure of Pr12Dy5Ho2 (PBE-GGA).

Unit cell a=9.326 b=9.326 c=8.155 alpha=93.36 beta=93.36 gamma=70.26
Positions (direct):
Pr (0.055, 0.055, 0.214)
Pr (0.093, 0.540, 0.708)
Pr (0.121, 0.666, 0.115)
Pr (0.334, 0.879, 0.885)
Pr (0.371, 0.371, 0.395)
Pr (0.460, 0.907, 0.292)
Pr (0.540, 0.093, 0.708)
Pr (0.629, 0.629, 0.605)
Pr (0.666, 0.121, 0.115)
Pr (0.879, 0.334, 0.885)
Pr (0.907, 0.460, 0.292)
Pr (0.945, 0.945, 0.786)
Dy (0.157, 0.157, 0.597)
Dy (0.259, 0.259, 0.013)
Dy (0.500, 0.500, 0.000)
Dy (0.741, 0.741, 0.987)
Dy (0.843, 0.843, 0.403)
Ho (0.228, 0.772, 0.500)
Ho (0.772, 0.228, 0.500)

Summary:
Uncorrected energy: -4.585 eV/atom

No. 6
Entry from Alexandria: an optimized crystal structure of Pr2Dy4Ho5 (PBE-GGA).

Unit cell a=10.971 b=10.971 c=10.971 alpha=161.69 beta=116.86 gamma=66.35
Positions (direct):
Pr (0.202, 0.202, 0.000)
Pr (0.798, 0.798, 0.000)
Dy (0.274, 0.000, 0.274)
Dy (0.410, 0.410, 0.000)
Dy (0.590, 0.590, 0.000)
Dy (0.726, 0.000, 0.726)
Ho (0.000, 0.500, 0.500)
Ho (0.112, 0.822, 0.290)
Ho (0.469, 0.178, 0.290)
Ho (0.531, 0.822, 0.710)
Ho (0.888, 0.178, 0.710)

Summary:
Energy above the lowest structure with this stoichiometry: 0.0531 eV per atom

| no. | volume (Å³ per atom) |
| --- | --- |
| 1 | 33.785 |
| 2 | 34.869 |
| 3 | 34.854 |
| 4 | 39.171 |
| 5 | 35.046 |
| 6 | 33.486 |